[1]
A plane-wave DFT calculation with PBE-GGA was carried out for an optimized crystal structure of CuIN2O.

The value obtained for the total energy is -3.710 eV per atom. For the raw formation energy, the calculation gives 1741 meV per atom.

Geometry as CIF:
```
data_CuIN2O
_chemical_formula_sum 'Cu1 I1 N2 O1'
_cell_length_a 4.046
_cell_length_b 4.046
_cell_length_c 3.976
_cell_angle_alpha 90.00
_cell_angle_beta 90.00
_cell_angle_gamma 90.00
_space_group_name_H-M_alt 'P 4/m m m'
_space_group_IT_number 123
_space_group_name_Hall '-P 4 2'
loop_
_atom_site_label
_atom_site_fract_x
_atom_site_fract_y
_atom_site_fract_z
Cu1 0.000 0.000 0.000
I1 0.500 0.500 0.500
N1 0.000 0.500 0.500
O1 0.500 0.500 0.000
```

[2]
A plane-wave DFT calculation with PBE-GGA was carried out for an optimized crystal structure of CuI2NO.

The value obtained for the total energy is -2.788 eV per atom. For the raw formation energy, the calculation gives 1308 meV per atom.

Geometry as CIF:
```
data_CuI2NO
_chemical_formula_sum 'Cu1 I2 N1 O1'
_cell_length_a 5.453
_cell_length_b 5.453
_cell_length_c 3.560
_cell_angle_alpha 90.00
_cell_angle_beta 90.00
_cell_angle_gamma 90.00
_space_group_name_H-M_alt 'P 4/m m m'
_space_group_IT_number 123
_space_group_name_Hall '-P 4 2'
loop_
_atom_site_label
_atom_site_fract_x
_atom_site_fract_y
_atom_site_fract_z
Cu1 0.000 0.000 0.000
I1 0.000 0.500 0.000
N1 0.000 0.000 0.500
O1 0.500 0.500 0.500
```

[3]
A plane-wave DFT calculation with PBE-GGA was carried out for an optimized crystal structure of CuI2NO.

The value obtained for the total energy is -2.579 eV per atom. For the raw formation energy, the calculation gives 1517 meV per atom.

Geometry as CIF:
```
data_CuI2NO
_chemical_formula_sum 'Cu1 I2 N1 O1'
_cell_length_a 4.917
_cell_length_b 4.917
_cell_length_c 3.816
_cell_angle_alpha 90.00
_cell_angle_beta 90.00
_cell_angle_gamma 90.00
_space_group_name_H-M_alt 'P 4/m m m'
_space_group_IT_number 123
_space_group_name_Hall '-P 4 2'
loop_
_atom_site_label
_atom_site_fract_x
_atom_site_fract_y
_atom_site_fract_z
Cu1 0.000 0.000 0.000
I1 0.000 0.500 0.500
N1 0.500 0.500 0.000
O1 0.500 0.500 0.500
```

[4]
A plane-wave DFT calculation with PBE-GGA was carried out for an optimized crystal structure of CuIN2O.

The value obtained for the total energy is -3.937 eV per atom. For the raw formation energy, the calculation gives 1514 meV per atom.

Geometry as CIF:
```
data_CuIN2O
_chemical_formula_sum 'Cu1 I1 N2 O1'
_cell_length_a 3.904
_cell_length_b 3.904
_cell_length_c 3.774
_cell_angle_alpha 90.00
_cell_angle_beta 90.00
_cell_angle_gamma 90.00
_space_group_name_H-M_alt 'P 4/m m m'
_space_group_IT_number 123
_space_group_name_Hall '-P 4 2'
loop_
_atom_site_label
_atom_site_fract_x
_atom_site_fract_y
_atom_site_fract_z
Cu1 0.000 0.000 0.000
I1 0.500 0.500 0.500
N1 0.000 0.500 0.000
O1 0.000 0.000 0.500
```

[5]
A plane-wave DFT calculation with PBE-GGA was carried out for an optimized crystal structure of CuIN2O.

The value obtained for the total energy is -3.118 eV per atom. For the raw formation energy, the calculation gives 2333 meV per atom.

Geometry as CIF:
```
data_CuIN2O
_chemical_formula_sum 'Cu1 I1 N2 O1'
_cell_length_a 3.812
_cell_length_b 3.812
_cell_length_c 4.659
_cell_angle_alpha 90.00
_cell_angle_beta 90.00
_cell_angle_gamma 90.00
_space_group_name_H-M_alt 'P 4/m m m'
_space_group_IT_number 123
_space_group_name_Hall '-P 4 2'
loop_
_atom_site_label
_atom_site_fract_x
_atom_site_fract_y
_atom_site_fract_z
Cu1 0.000 0.000 0.000
I1 0.500 0.500 0.000
N1 0.000 0.500 0.500
O1 0.500 0.500 0.500
```

[6]
A plane-wave DFT calculation with PBE-GGA was carried out for an optimized crystal structure of CuIN2O.

The value obtained for the total energy is -3.856 eV per atom. For the raw formation energy, the calculation gives 1595 meV per atom.

Geometry as CIF:
```
data_CuIN2O
_chemical_formula_sum 'Cu1 I1 N2 O1'
_cell_length_a 3.524
_cell_length_b 3.524
_cell_length_c 7.941
_cell_angle_alpha 90.00
_cell_angle_beta 90.00
_cell_angle_gamma 90.00
_space_group_name_H-M_alt 'P 4/m m m'
_space_group_IT_number 123
_space_group_name_Hall '-P 4 2'
loop_
_atom_site_label
_atom_site_fract_x
_atom_site_fract_y
_atom_site_fract_z
Cu1 0.000 0.000 0.000
I1 0.000 0.000 0.500
N1 0.000 0.500 0.000
O1 0.500 0.500 0.500
```

[7]
A plane-wave DFT calculation with PBE-GGA was carried out for an optimized crystal structure of CuI2NO.

The value obtained for the total energy is -2.778 eV per atom. For the raw formation energy, the calculation gives 1318 meV per atom.

Geometry as CIF:
```
data_CuI2NO
_chemical_formula_sum 'Cu1 I2 N1 O1'
_cell_length_a 5.499
_cell_length_b 5.499
_cell_length_c 3.526
_cell_angle_alpha 90.00
_cell_angle_beta 90.00
_cell_angle_gamma 90.00
_space_group_name_H-M_alt 'P 4/m m m'
_space_group_IT_number 123
_space_group_name_Hall '-P 4 2'
loop_
_atom_site_label
_atom_site_fract_x
_atom_site_fract_y
_atom_site_fract_z
Cu1 0.000 0.000 0.000
I1 0.000 0.500 0.000
N1 0.500 0.500 0.500
O1 0.000 0.000 0.500
```

[8]
A plane-wave DFT calculation with PBE-GGA was carried out for an optimized crystal structure of Cu2OsIN.

The value obtained for the total energy is -3.076 eV per atom. For the raw formation energy, the calculation gives 2783 meV per atom.

Geometry as CIF:
```
data_Cu2OsIN
_chemical_formula_sum 'Cu2 Os1 I1 N1'
_cell_length_a 4.741
_cell_length_b 4.741
_cell_length_c 4.993
_cell_angle_alpha 90.00
_cell_angle_beta 90.00
_cell_angle_gamma 90.00
_space_group_name_H-M_alt 'P 4/m m m'
_space_group_IT_number 123
_space_group_name_Hall '-P 4 2'
loop_
_atom_site_label
_atom_site_fract_x
_atom_site_fract_y
_atom_site_fract_z
Cu1 0.000 0.500 0.000
Os1 0.000 0.000 0.500
I1 0.000 0.000 0.000
N1 0.500 0.500 0.500
```

[9]
A plane-wave DFT calculation with PBE-GGA was carried out for an optimized crystal structure of CuPIN2.

The value obtained for the total energy is -3.785 eV per atom. For the raw formation energy, the calculation gives 1756 meV per atom.

Geometry as CIF:
```
data_CuPIN2
_chemical_formula_sum 'Cu1 P1 I1 N2'
_cell_length_a 3.804
_cell_length_b 3.804
_cell_length_c 7.246
_cell_angle_alpha 90.00
_cell_angle_beta 90.00
_cell_angle_gamma 90.00
_space_group_name_H-M_alt 'P 4/m m m'
_space_group_IT_number 123
_space_group_name_Hall '-P 4 2'
loop_
_atom_site_label
_atom_site_fract_x
_atom_site_fract_y
_atom_site_fract_z
Cu1 0.000 0.000 0.000
P1 0.500 0.500 0.500
I1 0.000 0.000 0.500
N1 0.000 0.500 0.000
```

[10]
A plane-wave DFT calculation with PBE-GGA was carried out for an optimized crystal structure of CuPIN2.

The value obtained for the total energy is -4.600 eV per atom. For the raw formation energy, the calculation gives 942 meV per atom.

Geometry as CIF:
```
data_CuPIN2
_chemical_formula_sum 'Cu1 P1 I1 N2'
_cell_length_a 3.507
_cell_length_b 3.507
_cell_length_c 7.360
_cell_angle_alpha 90.00
_cell_angle_beta 90.00
_cell_angle_gamma 90.00
_space_group_name_H-M_alt 'P 4/m m m'
_space_group_IT_number 123
_space_group_name_Hall '-P 4 2'
loop_
_atom_site_label
_atom_site_fract_x
_atom_site_fract_y
_atom_site_fract_z
Cu1 0.000 0.000 0.000
P1 0.500 0.500 0.500
I1 0.500 0.500 0.000
N1 0.000 0.500 0.500
```

[11]
A plane-wave DFT calculation with PBE-GGA was carried out for an optimized crystal structure of CuPI2N.

The value obtained for the total energy is -3.062 eV per atom. For the raw formation energy, the calculation gives 1125 meV per atom.

Geometry as CIF:
```
data_CuPI2N
_chemical_formula_sum 'Cu1 P1 I2 N1'
_cell_length_a 5.505
_cell_length_b 5.505
_cell_length_c 3.665
_cell_angle_alpha 90.00
_cell_angle_beta 90.00
_cell_angle_gamma 90.00
_space_group_name_H-M_alt 'P 4/m m m'
_space_group_IT_number 123
_space_group_name_Hall '-P 4 2'
loop_
_atom_site_label
_atom_site_fract_x
_atom_site_fract_y
_atom_site_fract_z
Cu1 0.000 0.000 0.000
P1 0.500 0.500 0.500
I1 0.000 0.500 0.000
N1 0.000 0.000 0.500
```

[12]
A plane-wave DFT calculation with PBE-GGA was carried out for an optimized crystal structure of CuPIN2.

The value obtained for the total energy is -3.848 eV per atom. For the raw formation energy, the calculation gives 1694 meV per atom.

Geometry as CIF:
```
data_CuPIN2
_chemical_formula_sum 'Cu1 P1 I1 N2'
_cell_length_a 3.935
_cell_length_b 3.935
_cell_length_c 5.331
_cell_angle_alpha 90.00
_cell_angle_beta 90.00
_cell_angle_gamma 90.00
_space_group_name_H-M_alt 'P 4/m m m'
_space_group_IT_number 123
_space_group_name_Hall '-P 4 2'
loop_
_atom_site_label
_atom_site_fract_x
_atom_site_fract_y
_atom_site_fract_z
Cu1 0.000 0.000 0.000
P1 0.000 0.000 0.500
I1 0.500 0.500 0.500
N1 0.000 0.500 0.000
```